# 1
Entry from the Alexandria database: crystalline Nb2B6W at its relaxed geometry (GGA-PBE).

Computed properties:
The total magnetization is 0.0 μB per cell. For the calculated density, the calculation gives 8.7 g/cm3. As for the formation energy: -0.493 eV/atom.

a b c (Å): 5.3669 5.3669 3.3220
angles (deg): 90.00 90.00 120.00
With the nearest neighbours (Å) after each atom.
Space group P6/mmm (No. 191)
Symmetry-distinct sites (fractional):
Nb (0.3333, 0.6667, 0.0000) x2  12 B 2.44
B (0.0000, 0.3314, 0.5000) x6  3 B 1.78-1.81
W (0.0000, 0.0000, 0.0000) x1  12 B 2.43

# 2
Entry from the Alexandria database: crystalline SiHg at its relaxed geometry (GGA-PBE).

Computed properties:
The value obtained for the energy above the most stable polymorph in this dataset is 0.533 eV/f.u. The total magnetization is 0.0 μB per cell. For the calculated density, the calculation gives 8.6 g/cm3. The uncorrected formation energy is 0.41 eV per atom.

a b c (Å): 3.5930 4.5289 10.7947
angles (deg): 90.00 90.00 90.00
With the nearest neighbours (Å) after each atom.
Space group Cmme (No. 67)
Symmetry-distinct sites (fractional):
Si (0.0000, 0.2500, 0.0827) x4  2 Si 2.53
Hg (0.0000, 0.2500, 0.6489) x4  4 Hg 2.89

# 3
Entry from the Alexandria database: crystalline LaThCu at its relaxed geometry (GGA-PBE).

Computed properties:
The total magnetization is 0.0 μB per cell. For the calculated density, the calculation gives 8.8 g/cm3. As for the formation energy: -0.031 eV/atom.

a b c (Å): 3.6745 3.6745 12.1976
angles (deg): 90.00 90.00 90.00
With the nearest neighbours (Å) after each atom.
Space group I4mm (No. 107)
Symmetry-distinct sites (fractional):
La (0.0000, 0.0000, 0.0000) x2  4 Cu 3.28, 5 Th 3.53-3.65, 4 La 3.67
Th (0.0000, 0.0000, 0.2895) x2  4 Cu 3.01
Cu (0.0000, 0.0000, 0.6646) x2  4 Th 3.01, 4 La 3.28